No. 1
A plane-wave DFT calculation with PBE was carried out for a geometry-optimized TbPmTmPb structure.

a = 5.4825 Å, b = 5.4825 Å, c = 5.4825 Å
α = 60.00°, β = 60.00°, γ = 60.00°
Sites, in units of the cell vectors:
Tm1 0.5000 0.5000 0.5000
Tb1 0.0000 0.0000 0.0000
Pb1 0.2500 0.2500 0.2500
Pm1 0.7500 0.7500 0.7500

No. 2
A plane-wave DFT calculation with PBE was carried out for a geometry-optimized Sr2PCl structure.

Output
formation energy from raw total energies	-1.40	eV per atom

a = 6.6041 Å, b = 6.6041 Å, c = 8.5879 Å
α = 67.39°, β = 67.39°, γ = 90.00°
Sites, in units of the cell vectors:
Sr1 0.1450 0.6250 0.2500
Sr2 0.6050 0.1250 0.2500
Sr3 0.3750 0.3950 0.7500
Sr4 0.8750 0.8550 0.7500
Cl1 0.7500 0.2500 0.5000
Cl2 0.0000 0.0000 0.0000
P1 0.2500 0.7500 0.5000
P2 0.5000 0.5000 0.0000

No. 3
A plane-wave DFT calculation with PBE was carried out for a geometry-optimized VHgIr2 structure.

a = 7.1432 Å, b = 7.1432 Å, c = 5.7415 Å
α = 51.53°, β = 51.53°, γ = 90.00°
Sites, in units of the cell vectors:
V1 0.5000 0.5000 0.0000
V2 0.2500 0.7500 0.5000
Ir1 0.3750 0.4274 0.7500
Ir2 0.8750 0.8226 0.7500
Ir3 0.1774 0.6250 0.2500
Ir4 0.5726 0.1250 0.2500
Hg1 0.0000 0.0000 0.0000
Hg2 0.7500 0.2500 0.5000

No. 4
A plane-wave DFT calculation with PBE was carried out for a geometry-optimized MgAu2Cl structure.

Output
distance to the lowest polymorph of the same formula	244	meV/atom
formation energy from raw total energies	-0.41	eV per atom

a = 6.1911 Å, b = 6.1911 Å, c = 6.1911 Å
α = 143.93°, β = 143.93°, γ = 51.94°
Sites, in units of the cell vectors:
Au1 0.0000 0.0000 0.0000
Au2 0.5000 0.5000 0.0000
Cl1 0.2500 0.7500 0.5000
Mg1 0.7500 0.2500 0.5000

No. 5
A plane-wave DFT calculation with PBE was carried out for a geometry-optimized La2ReMo structure.

Output
distance to the lowest polymorph of the same formula	373	meV/atom

a = 9.8728 Å, b = 9.8728 Å, c = 9.8728 Å
α = 19.35°, β = 19.35°, γ = 19.35°
Sites, in units of the cell vectors:
La1 0.2430 0.2430 0.2430
La2 0.0084 0.0084 0.0084
Mo1 0.4863 0.4863 0.4863
Re1 0.7622 0.7622 0.7622

No. 6
A plane-wave DFT calculation with PBE was carried out for a geometry-optimized Pr2Al4AgAu3 structure.

a = 4.4287 Å, b = 4.4287 Å, c = 10.5910 Å
α = 90.00°, β = 90.00°, γ = 90.00°
Sites, in units of the cell vectors:
Pr1 0.5000 0.0000 0.2502
Pr2 0.0000 0.5000 0.7498
Al1 0.0000 0.0000 0.0000
Al2 0.5000 0.0000 0.6333
Al3 0.0000 0.5000 0.3667
Al4 0.5000 0.5000 0.0000
Au1 0.0000 0.0000 0.5000
Au2 0.0000 0.5000 0.1290
Au3 0.5000 0.0000 0.8710
Ag1 0.5000 0.5000 0.5000

No. 7
A plane-wave DFT calculation with PBE was carried out for a geometry-optimized TaCoSi2 structure.

Output
formation energy from raw total energies	-0.19	eV per atom

a = 4.9921 Å, b = 4.9921 Å, c = 4.9921 Å
α = 147.96°, β = 122.48°, γ = 67.38°
Sites, in units of the cell vectors:
Si1 0.4715 0.4715 0.0000
Si2 0.0285 0.0285 0.0000
Ta1 0.7500 0.2500 0.5000
Co1 0.2500 0.7500 0.5000

No. 8
A plane-wave DFT calculation with PBE was carried out for a geometry-optimized Rb2U2BiSe6 structure.

Output
formation energy from raw total energies	-1.07	eV per atom

a = 7.3437 Å, b = 7.3437 Å, c = 8.5397 Å
α = 97.92°, β = 97.92°, γ = 120.15°
Sites, in units of the cell vectors:
Se1 0.4051 0.0618 0.6936
Se2 0.9382 0.5949 0.3064
Se3 0.0618 0.4051 0.6936
Se4 0.7202 0.7202 0.6952
Se5 0.2798 0.2798 0.3048
Se6 0.5949 0.9382 0.3064
Rb1 0.8365 0.1635 0.0000
Rb2 0.1635 0.8365 0.0000
Bi1 0.0000 0.0000 0.5000
U1 0.3339 0.6661 0.5000
U2 0.6661 0.3339 0.5000

No. 9
A plane-wave DFT calculation with PBE was carried out for a geometry-optimized Be2MoAs structure.

a = 7.6180 Å, b = 7.6180 Å, c = 7.6180 Å
α = 21.93°, β = 21.93°, γ = 21.93°
Sites, in units of the cell vectors:
Be1 0.9930 0.9930 0.9930
Be2 0.2564 0.2564 0.2564
As1 0.7473 0.7473 0.7473
Mo1 0.5032 0.5032 0.5032

No. 10
A plane-wave DFT calculation with PBE was carried out for a geometry-optimized Pm3Pr2Sc4 structure.

a = 5.8830 Å, b = 10.9901 Å, c = 10.9901 Å
α = 62.47°, β = 64.28°, γ = 64.28°
Sites, in units of the cell vectors:
Sc1 0.3720 0.6006 0.8720
Sc2 0.6280 0.3994 0.1280
Sc3 0.5566 0.0699 0.8305
Sc4 0.9434 0.1695 0.9301
Sc5 0.4434 0.9301 0.1695
Sc6 0.0566 0.8305 0.0699
Sc7 0.1280 0.1280 0.3994
Sc8 0.8720 0.8720 0.6006
Pr1 0.5450 0.7516 0.4990
Pr2 0.4550 0.2484 0.5010
Pr3 0.0450 0.4990 0.7516
Pr4 0.9550 0.5010 0.2484
Pm1 0.2026 0.9581 0.7246
Pm2 0.7500 0.3670 0.6330
Pm3 0.2500 0.6330 0.3670
Pm4 0.2974 0.2754 0.0419
Pm5 0.7974 0.0419 0.2754
Pm6 0.7026 0.7246 0.9581

No. 11
A plane-wave DFT calculation with PBE was carried out for a geometry-optimized CaIr3O structure.

Output
distance to the lowest polymorph of the same formula	2584	meV/atom
formation energy from raw total energies	2.97	eV per atom

a = 4.8950 Å, b = 4.8950 Å, c = 4.8950 Å
α = 90.00°, β = 90.00°, γ = 90.00°
Sites, in units of the cell vectors:
Ir1 0.5000 0.0000 0.0000
Ir2 0.0000 0.5000 0.0000
Ir3 0.0000 0.0000 0.5000
O1 0.5000 0.5000 0.5000
Ca1 0.0000 0.0000 0.0000

No. 12
A plane-wave DFT calculation with PBE was carried out for a geometry-optimized Ca5Bi6Pb structure.

a = 5.5252 Å, b = 9.2718 Å, c = 10.1257 Å
α = 117.91°, β = 115.14°, γ = 97.66°
Sites, in units of the cell vectors:
Ca1 0.0074 0.3301 0.6705
Ca2 0.5070 0.1521 0.8477
Ca3 0.4930 0.8479 0.1523
Ca4 0.9926 0.6699 0.3295
Ca5 0.5000 0.5000 0.5000
Bi1 0.2448 0.4261 0.0833
Bi2 0.7552 0.5739 0.9167
Bi3 0.2644 0.0834 0.4266
Bi4 0.2361 0.7354 0.7355
Bi5 0.7356 0.9166 0.5734
Bi6 0.7639 0.2646 0.2645
Pb1 0.0000 0.0000 0.0000

No. 13
A plane-wave DFT calculation with PBE was carried out for a geometry-optimized ZnReHI structure.

Output
distance to the lowest polymorph of the same formula	80	meV/atom

a = 3.1379 Å, b = 3.1379 Å, c = 22.6363 Å
α = 90.00°, β = 90.00°, γ = 120.00°
Sites, in units of the cell vectors:
I1 0.0000 0.0000 0.8650
I2 0.3333 0.6667 0.5317
I3 0.6667 0.3333 0.1984
H1 0.6667 0.3333 0.7656
H2 0.0000 0.0000 0.4322
H3 0.3333 0.6667 0.0989
Zn1 0.0000 0.0000 0.9899
Zn2 0.6667 0.3333 0.3232
Zn3 0.3333 0.6667 0.6566
Re1 0.6667 0.3333 0.0759
Re2 0.3333 0.6667 0.4092
Re3 0.0000 0.0000 0.7425

No. 14
A plane-wave DFT calculation with PBE was carried out for a geometry-optimized Er2Zn16Ga structure.

a = 6.7795 Å, b = 6.7795 Å, c = 6.7795 Å
α = 83.05°, β = 83.05°, γ = 83.05°
Sites, in units of the cell vectors:
Zn1 0.6966 0.0001 0.3043
Zn2 0.0001 0.6966 0.3043
Zn3 0.6966 0.3043 0.0001
Zn4 0.3043 0.6966 0.0001
Zn5 0.0973 0.0973 0.0973
Zn6 0.1669 0.6473 0.6473
Zn7 0.0036 0.4945 0.0036
Zn8 0.3043 0.0001 0.6966
Zn9 0.6473 0.6473 0.1669
Zn10 0.6473 0.1669 0.6473
Zn11 0.8351 0.3513 0.3513
Zn12 0.0036 0.0036 0.4945
Zn13 0.0001 0.3043 0.6966
Zn14 0.3513 0.3513 0.8351
Zn15 0.4945 0.0036 0.0036
Zn16 0.3513 0.8351 0.3513
Ga1 0.8995 0.8995 0.8995
Er1 0.3343 0.3343 0.3343
Er2 0.6659 0.6659 0.6659

No. 15
A plane-wave DFT calculation with PBE was carried out for a geometry-optimized TaAl2V9 structure.

a = 5.1151 Å, b = 5.1151 Å, c = 8.3787 Å
α = 72.23°, β = 72.23°, γ = 60.00°
Sites, in units of the cell vectors:
V1 0.4147 0.9176 0.2531
V2 0.4147 0.4147 0.2531
V3 0.5853 0.0824 0.7469
V4 0.3329 0.3329 0.0012
V5 0.9176 0.4147 0.2531
V6 0.0824 0.5853 0.7469
V7 0.5000 0.5000 0.5000
V8 0.5853 0.5853 0.7469
V9 0.6671 0.6671 0.9988
Al1 0.1413 0.1413 0.5760
Al2 0.8587 0.8587 0.4240
Ta1 0.0000 0.0000 0.0000

No. 16
A plane-wave DFT calculation with PBE was carried out for a geometry-optimized CsMgTa structure.

Output
distance to the lowest polymorph of the same formula	276	meV/atom

a = 8.1201 Å, b = 3.2797 Å, c = 8.0851 Å
α = 89.93°, β = 101.60°, γ = 78.91°
Sites, in units of the cell vectors:
Cs1 0.5967 0.8635 0.3378
Cs2 0.4607 0.9191 0.8012
Ta1 0.1540 0.0782 0.1109
Ta2 0.9036 0.6990 0.0270
Mg1 0.0852 0.6080 0.4052
Mg2 0.9720 0.1694 0.7325

No. 17
A plane-wave DFT calculation with PBE was carried out for a geometry-optimized GaTcTe structure.

Output
formation energy from raw total energies	0.00	eV per atom

a = 6.0208 Å, b = 6.3328 Å, c = 8.5630 Å
α = 90.00°, β = 132.63°, γ = 90.00°
Sites, in units of the cell vectors:
Te1 0.1833 0.6175 0.8030
Te2 0.8167 0.3825 0.1970
Te3 0.3167 0.1175 0.1970
Te4 0.6833 0.8825 0.8030
Tc1 0.2982 0.1539 0.4951
Tc2 0.7018 0.8461 0.5049
Tc3 0.2018 0.6539 0.5049
Tc4 0.7982 0.3461 0.4951
Ga1 0.2087 0.0952 0.7748
Ga2 0.7913 0.9048 0.2252
Ga3 0.2913 0.5952 0.2252
Ga4 0.7087 0.4048 0.7748

No. 18
A plane-wave DFT calculation with PBE was carried out for a geometry-optimized GaPdBr structure.

Output
distance to the lowest polymorph of the same formula	33	meV/atom
formation energy from raw total energies	-0.48	eV per atom

a = 3.5052 Å, b = 4.7454 Å, c = 9.7601 Å
α = 88.83°, β = 79.36°, γ = 68.87°
Sites, in units of the cell vectors:
Ga1 0.0502 0.3300 0.2577
Ga2 0.4833 0.7255 0.9777
Br1 0.0943 0.0398 0.4694
Br2 0.1780 0.5083 0.8010
Pd1 0.3703 0.7244 0.2324
Pd2 0.7336 0.1502 0.0781

No. 19
A plane-wave DFT calculation with PBE was carried out for a geometry-optimized DyErAsP structure.

a = 4.0456 Å, b = 4.0458 Å, c = 5.7183 Å
α = 90.00°, β = 90.00°, γ = 90.00°
Sites, in units of the cell vectors:
Dy1 0.5000 0.3916 0.5926
P1 0.5000 0.3915 0.0925
As1 0.0000 0.8916 0.5923
Er1 0.0000 0.8915 0.0923

No. 20
A plane-wave DFT calculation with PBE was carried out for a geometry-optimized GdLuInOs structure.

a = 5.0132 Å, b = 5.0132 Å, c = 5.0132 Å
α = 60.00°, β = 60.00°, γ = 60.00°
Sites, in units of the cell vectors:
Gd1 0.7500 0.7500 0.7500
In1 0.0000 0.0000 0.0000
Os1 0.5000 0.5000 0.5000
Lu1 0.2500 0.2500 0.2500

Number 1: magnetization 0.3 μB/cell, DFT total energy -4.4665 eV per atom. Number 2: magnetization 0.0 μB/cell, DFT total energy -4.0581 eV per atom. Number 3: magnetization 0.0 μB/cell, DFT total energy -6.4384 eV per atom. Number 4: magnetization 0.0 μB/cell, DFT total energy -2.9075 eV per atom. Number 5: magnetization 0.0 μB/cell, DFT total energy -7.7321 eV per atom. Number 6: magnetization 0.0 μB/cell, DFT total energy -4.3907 eV per atom. Number 7: magnetization 0.0 μB/cell, DFT total energy -7.6434 eV per atom. Number 8: magnetization 5.0 μB/cell, DFT total energy -5.5533 eV per atom. Number 9: magnetization 0.0 μB/cell, DFT total energy -5.2975 eV per atom. Number 10: magnetization 0.0 μB/cell, DFT total energy -5.3499 eV per atom. Number 11: magnetization 5.1 μB/cell, DFT total energy -3.7408 eV per atom. Number 12: magnetization 0.0 μB/cell, DFT total energy -3.6845 eV per atom. Number 13: magnetization 0.0 μB/cell, DFT total energy -4.0948 eV per atom. Number 14: magnetization 0.0 μB/cell, DFT total energy -1.9289 eV per atom. Number 15: magnetization 0.0 μB/cell, DFT total energy -8.3030 eV per atom. Number 16: magnetization 0.0 μB/cell, DFT total energy -3.9257 eV per atom. Number 17: magnetization 0.0 μB/cell, DFT total energy -5.5082 eV per atom. Number 18: magnetization 0.0 μB/cell, DFT total energy -3.7781 eV per atom. Number 19: magnetization 0.0 μB/cell, DFT total energy -6.3655 eV per atom. Number 20: magnetization 7.0 μB/cell, DFT total energy -8.3834 eV per atom.